Dy11Ag9Pd4 PBE relaxed; formation energy = -11.6 kcal/mol of atoms; density of states at the Fermi level = 0.5499 states/eV per atom; E_tot = -109.09 eV/cell; SG = No. 65; mass density = 9.56 g/cm³
1.0
7.142 -10.658 0.000
7.142 10.658 0.000
0.000 0.000 3.632
Dy Ag Pd
11 9 4
Direct
0.000 0.000 0.000 Dy
0.073 0.413 0.000 Dy
0.168 0.832 0.000 Dy
0.287 0.287 0.000 Dy
0.364 0.636 0.000 Dy
0.413 0.073 0.000 Dy
0.587 0.927 0.000 Dy
0.636 0.364 0.000 Dy
0.713 0.713 0.000 Dy
0.832 0.168 0.000 Dy
0.927 0.587 0.000 Dy
0.057 0.209 0.500 Ag
0.152 0.630 0.500 Ag
0.209 0.057 0.500 Ag
0.370 0.848 0.500 Ag
0.500 0.500 0.500 Ag
0.630 0.152 0.500 Ag
0.791 0.943 0.500 Ag
0.848 0.370 0.500 Ag
0.943 0.791 0.500 Ag
0.254 0.448 0.500 Pd
0.448 0.254 0.500 Pd
0.552 0.746 0.500 Pd
0.746 0.552 0.500 Pd